# CeNd2Si | Alexandria via LeMat-Bulk | PBE-GGA | relaxed
data_CeNd2Si
_cell_length_a 3.680
_cell_length_b 3.680
_cell_length_c 32.606
_cell_angle_alpha 90.00
_cell_angle_beta 90.00
_cell_angle_gamma 120.00
_space_group_name_H-M_alt 'P 1'
_space_group_IT_number 1
loop_
_space_group_symop_operation_xyz
'x,y,z'
loop_
_atom_site_label
_atom_site_fract_x
_atom_site_fract_y
_atom_site_fract_z
Ce1 0.000 0.000 0.000
Ce2 0.333 0.667 0.667
Ce3 0.667 0.333 0.333
Nd1 0.000 0.000 0.106
Nd2 0.000 0.000 0.894
Nd3 0.333 0.667 0.561
Nd4 0.333 0.667 0.773
Nd5 0.667 0.333 0.227
Nd6 0.667 0.333 0.439
Si1 0.000 0.000 0.500
Si2 0.333 0.667 0.167
Si3 0.667 0.333 0.833
# **Excess energy over the best structure of this formula in the dataset**: 334.4 meV per atom
# **Formation energy from raw total energies**: 0.0868 eV/atom
# **DOS at the Fermi energy**: 2.050 states/eV per atom
# **Magnetization**: 0.438 μB per atom